1.
# CdI3Cl | Alexandria via LeMat-Bulk | PBE | relaxed
# E_tot ... -1.3793 eV/atom
# M_tot ... 2.000 μB per formula unit
# ΔE_f (raw) ... 2.38 kcal/mol of atoms
# Crystal system ... cubic
# SG ... Pm-3m
data_CdI3Cl
_chemical_formula_sum 'Cd1 I3 Cl1'
_symmetry_space_group_name_H-M 'P 1'
_symmetry_Int_Tables_number 1
_symmetry_space_group_name_Hall 'P 1'
_cell_length_a 5.880
_cell_length_b 5.880
_cell_length_c 5.880
_cell_angle_alpha 90.00
_cell_angle_beta 90.00
_cell_angle_gamma 90.00
loop_
_atom_site_label
_atom_site_type_symbol
_atom_site_fract_x
_atom_site_fract_y
_atom_site_fract_z
I1 I 0.000 0.500 0.000
I2 I 0.000 0.000 0.500
Cl1 Cl 0.500 0.500 0.500
Cd1 Cd 0.000 0.000 0.000
I3 I 0.500 0.000 0.000


2.
# CdICl3 | Alexandria via LeMat-Bulk | PBE | relaxed
# E_tot ... -1.5697 eV/atom
# M_tot ... 0.569 μB per formula unit
# ΔE_f (raw) ... 0.72 kcal/mol of atoms
# Crystal system ... cubic
# SG ... Pm-3m
data_CdICl3
_chemical_formula_sum 'Cd1 I1 Cl3'
_symmetry_space_group_name_H-M 'P 1'
_symmetry_Int_Tables_number 1
_symmetry_space_group_name_Hall 'P 1'
_cell_length_a 5.536
_cell_length_b 5.536
_cell_length_c 5.536
_cell_angle_alpha 90.00
_cell_angle_beta 90.00
_cell_angle_gamma 90.00
loop_
_atom_site_label
_atom_site_type_symbol
_atom_site_fract_x
_atom_site_fract_y
_atom_site_fract_z
Cl1 Cl 0.000 0.000 0.500
Cl2 Cl 0.000 0.500 0.000
I1 I 0.000 0.000 0.000
Cl3 Cl 0.500 0.000 0.000
Cd1 Cd 0.500 0.500 0.500


3.
# Cd2I3Cl | Alexandria via LeMat-Bulk | PBE | relaxed
# E_tot ... -2.0831 eV/atom
# M_tot ... 0.000 μB per formula unit
# ΔE_f (raw) ... -16.03 kcal/mol of atoms
# Crystal system ... monoclinic
# SG ... C2/m
data_Cd2I3Cl
_chemical_formula_sum 'Cd4 I6 Cl2'
_symmetry_space_group_name_H-M 'P 1'
_symmetry_Int_Tables_number 1
_symmetry_space_group_name_Hall 'P 1'
_cell_length_a 4.241
_cell_length_b 9.706
_cell_length_c 11.695
_cell_angle_alpha 91.05
_cell_angle_beta 79.55
_cell_angle_gamma 77.38
loop_
_atom_site_label
_atom_site_type_symbol
_atom_site_fract_x
_atom_site_fract_y
_atom_site_fract_z
I1 I 0.068 0.055 0.810
I2 I 0.826 0.810 0.538
I3 I 0.699 0.672 0.930
I4 I 0.301 0.328 0.070
Cl1 Cl 0.442 0.384 0.732
I5 I 0.932 0.945 0.190
I6 I 0.174 0.190 0.462
Cd1 Cd 0.375 0.882 0.367
Cl2 Cl 0.558 0.616 0.268
Cd2 Cd 0.122 0.638 0.117
Cd3 Cd 0.878 0.362 0.883
Cd4 Cd 0.625 0.118 0.633


4.
# CdICl6 | Alexandria via LeMat-Bulk | PBE | relaxed
# E_tot ... -2.0661 eV/atom
# M_tot ... 0.001 μB per formula unit
# ΔE_f (raw) ... -8.60 kcal/mol of atoms
# Crystal system ... triclinic
# SG ... P-1
data_CdICl6
_chemical_formula_sum 'Cd1 I1 Cl6'
_symmetry_space_group_name_H-M 'P 1'
_symmetry_Int_Tables_number 1
_symmetry_space_group_name_Hall 'P 1'
_cell_length_a 6.733
_cell_length_b 6.573
_cell_length_c 7.029
_cell_angle_alpha 64.96
_cell_angle_beta 67.81
_cell_angle_gamma 64.77
loop_
_atom_site_label
_atom_site_type_symbol
_atom_site_fract_x
_atom_site_fract_y
_atom_site_fract_z
Cl1 Cl 0.919 0.621 0.233
Cl2 Cl 0.081 0.379 0.767
Cd1 Cd 0.500 0.500 0.500
Cl3 Cl 0.453 0.719 0.721
Cl4 Cl 0.547 0.281 0.279
Cl5 Cl 0.221 0.944 0.246
Cl6 Cl 0.779 0.056 0.754
I1 I 0.000 0.000 0.000


5.
# CdICl3 | Alexandria via LeMat-Bulk | PBE | relaxed
# E_tot ... -1.9286 eV/atom
# M_tot ... 2.000 μB per formula unit
# ΔE_f (raw) ... -7.55 kcal/mol of atoms
# Crystal system ... cubic
# SG ... Pm-3m
data_CdICl3
_chemical_formula_sum 'Cd1 I1 Cl3'
_symmetry_space_group_name_H-M 'P 1'
_symmetry_Int_Tables_number 1
_symmetry_space_group_name_Hall 'P 1'
_cell_length_a 5.246
_cell_length_b 5.246
_cell_length_c 5.246
_cell_angle_alpha 90.00
_cell_angle_beta 90.00
_cell_angle_gamma 90.00
loop_
_atom_site_label
_atom_site_type_symbol
_atom_site_fract_x
_atom_site_fract_y
_atom_site_fract_z
Cl1 Cl 0.000 0.500 0.000
Cd1 Cd 0.000 0.000 0.000
I1 I 0.500 0.500 0.500
Cl2 Cl 0.000 0.000 0.500
Cl3 Cl 0.500 0.000 0.000


6.
# Cd2I2Cl | Alexandria via LeMat-Bulk | PBE | relaxed
# E_tot ... -1.8717 eV/atom
# M_tot ... 0.000 μB per formula unit
# ΔE_f (raw) ... -11.91 kcal/mol of atoms
# Crystal system ... orthorhombic
# SG ... Pnma
data_Cd2I2Cl
_chemical_formula_sum 'Cd8 I8 Cl4'
_symmetry_space_group_name_H-M 'P 1'
_symmetry_Int_Tables_number 1
_symmetry_space_group_name_Hall 'P 1'
_cell_length_a 6.214
_cell_length_b 8.516
_cell_length_c 12.810
_cell_angle_alpha 90.00
_cell_angle_beta 90.00
_cell_angle_gamma 90.00
loop_
_atom_site_label
_atom_site_type_symbol
_atom_site_fract_x
_atom_site_fract_y
_atom_site_fract_z
Cd1 Cd 0.750 0.916 0.740
Cl1 Cl 0.250 0.821 0.383
Cd2 Cd 0.250 0.084 0.260
Cd3 Cd 0.750 0.839 0.071
I1 I 0.250 0.927 0.728
I2 I 0.250 0.347 0.428
Cd4 Cd 0.250 0.584 0.240
Cd5 Cd 0.250 0.161 0.929
I3 I 0.750 0.073 0.272
Cl2 Cl 0.750 0.679 0.883
Cd6 Cd 0.250 0.661 0.571
Cl3 Cl 0.250 0.321 0.117
Cd7 Cd 0.750 0.416 0.760
I4 I 0.250 0.847 0.072
I5 I 0.750 0.153 0.928
Cd8 Cd 0.750 0.339 0.429
Cl4 Cl 0.750 0.179 0.617
I6 I 0.250 0.427 0.772
I7 I 0.750 0.653 0.572
I8 I 0.750 0.573 0.228


7.
# CdICl6 | Alexandria via LeMat-Bulk | PBE | relaxed
# E_tot ... -2.0533 eV/atom
# M_tot ... 0.000 μB per formula unit
# ΔE_f (raw) ... -8.31 kcal/mol of atoms
# Crystal system ... monoclinic
# SG ... C2/m
data_CdICl6
_chemical_formula_sum 'Cd1 I1 Cl6'
_symmetry_space_group_name_H-M 'P 1'
_symmetry_Int_Tables_number 1
_symmetry_space_group_name_Hall 'P 1'
_cell_length_a 6.876
_cell_length_b 6.781
_cell_length_c 6.781
_cell_angle_alpha 119.21
_cell_angle_beta 98.83
_cell_angle_gamma 98.83
loop_
_atom_site_label
_atom_site_type_symbol
_atom_site_fract_x
_atom_site_fract_y
_atom_site_fract_z
Cd1 Cd 0.000 0.000 0.000
I1 I 0.500 0.500 0.500
Cl1 Cl 0.722 0.863 0.560
Cl2 Cl 0.774 0.211 0.211
Cl3 Cl 0.278 0.137 0.440
Cl4 Cl 0.226 0.789 0.789
Cl5 Cl 0.722 0.560 0.863
Cl6 Cl 0.278 0.440 0.137


8.
# Cd2ICl | Alexandria via LeMat-Bulk | PBE | relaxed
# E_tot ... -1.5200 eV/atom
# M_tot ... 0.000 μB per formula unit
# ΔE_f (raw) ... -4.92 kcal/mol of atoms
# Crystal system ... tetragonal
# SG ... I-42d
data_Cd2ICl
_chemical_formula_sum 'Cd4 I2 Cl2'
_symmetry_space_group_name_H-M 'P 1'
_symmetry_Int_Tables_number 1
_symmetry_space_group_name_Hall 'P 1'
_cell_length_a 7.018
_cell_length_b 7.018
_cell_length_c 8.311
_cell_angle_alpha 65.03
_cell_angle_beta 65.03
_cell_angle_gamma 90.00
loop_
_atom_site_label
_atom_site_type_symbol
_atom_site_fract_x
_atom_site_fract_y
_atom_site_fract_z
I1 I 0.000 0.000 0.000
Cl1 Cl 0.500 0.500 0.000
Cl2 Cl 0.250 0.750 0.500
Cd1 Cd 0.875 0.837 0.750
Cd2 Cd 0.375 0.413 0.750
I2 I 0.750 0.250 0.500
Cd3 Cd 0.587 0.125 0.250
Cd4 Cd 0.163 0.625 0.250


9.
# CdI3Cl | Alexandria via LeMat-Bulk | PBE | relaxed
# E_tot ... -1.1464 eV/atom
# M_tot ... 0.000 μB per formula unit
# ΔE_f (raw) ... 7.75 kcal/mol of atoms
# Crystal system ... cubic
# SG ... Pm-3m
data_CdI3Cl
_chemical_formula_sum 'Cd1 I3 Cl1'
_symmetry_space_group_name_H-M 'P 1'
_symmetry_Int_Tables_number 1
_symmetry_space_group_name_Hall 'P 1'
_cell_length_a 5.772
_cell_length_b 5.772
_cell_length_c 5.772
_cell_angle_alpha 90.00
_cell_angle_beta 90.00
_cell_angle_gamma 90.00
loop_
_atom_site_label
_atom_site_type_symbol
_atom_site_fract_x
_atom_site_fract_y
_atom_site_fract_z
Cd1 Cd 0.500 0.500 0.500
I1 I 0.000 0.500 0.000
Cl1 Cl 0.000 0.000 0.000
I2 I 0.500 0.000 0.000
I3 I 0.000 0.000 0.500


10.
# Cd2ICl | Alexandria via LeMat-Bulk | PBE | relaxed
# E_tot ... -1.5079 eV/atom
# M_tot ... 0.000 μB per formula unit
# ΔE_f (raw) ... -4.64 kcal/mol of atoms
# Crystal system ... cubic
# SG ... Fm-3m
data_Cd2ICl
_chemical_formula_sum 'Cd2 I1 Cl1'
_symmetry_space_group_name_H-M 'P 1'
_symmetry_Int_Tables_number 1
_symmetry_space_group_name_Hall 'P 1'
_cell_length_a 5.359
_cell_length_b 5.359
_cell_length_c 5.359
_cell_angle_alpha 60.00
_cell_angle_beta 60.00
_cell_angle_gamma 60.00
loop_
_atom_site_label
_atom_site_type_symbol
_atom_site_fract_x
_atom_site_fract_y
_atom_site_fract_z
Cd1 Cd 0.250 0.250 0.250
Cd2 Cd 0.750 0.750 0.750
I1 I 0.500 0.500 0.500
Cl1 Cl 0.000 0.000 0.000


11.
# CdIn2I2Cl2 | Alexandria via LeMat-Bulk | PBE | relaxed
# E_tot ... -2.5949 eV/atom
# M_tot ... 0.000 μB per formula unit
# ΔE_f (raw) ... -16.40 kcal/mol of atoms
# Crystal system ... monoclinic
# SG ... C2/m
data_CdIn2I2Cl2
_chemical_formula_sum 'Cd1 In2 I2 Cl2'
_symmetry_space_group_name_H-M 'P 1'
_symmetry_Int_Tables_number 1
_symmetry_space_group_name_Hall 'P 1'
_cell_length_a 4.372
_cell_length_b 8.179
_cell_length_c 8.105
_cell_angle_alpha 64.66
_cell_angle_beta 74.35
_cell_angle_gamma 74.50
loop_
_atom_site_label
_atom_site_type_symbol
_atom_site_fract_x
_atom_site_fract_y
_atom_site_fract_z
In1 In 0.856 0.573 0.716
Cl1 Cl 0.802 0.289 0.106
I1 I 0.546 0.185 0.723
In2 In 0.144 0.427 0.284
Cd1 Cd 0.000 0.000 0.000
I2 I 0.454 0.815 0.277
Cl2 Cl 0.198 0.711 0.894


12.
# CdInICl4 | Alexandria via LeMat-Bulk | PBE | relaxed
# E_tot ... -2.7230 eV/atom
# M_tot ... 0.000 μB per formula unit
# ΔE_f (raw) ... -21.32 kcal/mol of atoms
# Crystal system ... monoclinic
# SG ... C2/m
data_CdInICl4
_chemical_formula_sum 'Cd2 In2 I2 Cl8'
_symmetry_space_group_name_H-M 'P 1'
_symmetry_Int_Tables_number 1
_symmetry_space_group_name_Hall 'P 1'
_cell_length_a 8.968
_cell_length_b 8.968
_cell_length_c 9.923
_cell_angle_alpha 82.65
_cell_angle_beta 82.65
_cell_angle_gamma 50.90
loop_
_atom_site_label
_atom_site_type_symbol
_atom_site_fract_x
_atom_site_fract_y
_atom_site_fract_z
Cl1 Cl 0.546 0.053 0.171
Cl2 Cl 0.454 0.947 0.829
Cl3 Cl 0.492 0.492 0.797
Cl4 Cl 0.947 0.454 0.829
In1 In 0.635 0.635 0.720
I1 I 0.055 0.055 0.189
Cd1 Cd 0.101 0.101 0.903
Cl5 Cl 0.687 0.687 0.489
Cl6 Cl 0.508 0.508 0.203
I2 I 0.945 0.945 0.811
Cl7 Cl 0.313 0.313 0.511
In2 In 0.365 0.365 0.280
Cl8 Cl 0.053 0.546 0.171
Cd2 Cd 0.899 0.899 0.097